(1)
Below is a geometry-optimized Na8As2Se structure, with properties calculated at the PBE-GGA level.

Lattice parameters (Å, degrees): 5.0220 7.0109 8.7291 113.68 106.72 90.00
With the nearest neighbours (Å) after each atom.
Positions (direct):
Na1 0.6504 0.8852 0.3009  1 Se 2.94, 4 Na 2.98-3.29, 3 As 3.03-3.21
Na2 0.3496 0.5844 0.6991  1 Se 2.94, 4 Na 2.98-3.29, 3 As 3.03-3.21
Na3 0.1862 0.1862 0.3723  6 Na 2.98-3.17, 2 As 3.25
Na4 0.0000 0.2781 0.0000  2 As 3.11, 7 Na 3.11-3.43, 2 Se 3.18
Na5 0.8138 0.8138 0.6277  6 Na 2.98-3.17, 2 As 3.25
Na6 0.6504 0.4156 0.3009  1 Se 2.94, 4 Na 2.98-3.29, 3 As 3.03-3.21
Na7 0.3496 0.1148 0.6991  1 Se 2.94, 4 Na 2.98-3.29, 3 As 3.03-3.21
Na8 0.0000 0.7219 0.0000  2 As 3.11, 7 Na 3.11-3.43, 2 Se 3.18
As1 0.1774 0.6774 0.3548  10 Na 3.03-3.25
As2 0.8226 0.3226 0.6452  10 Na 3.03-3.25
Se1 0.5000 0.0000 0.0000  8 Na 2.94-3.18

Results
**Total magnetization**: 0.00 Bohr magnetons per cell
**Energy relative to the elements, uncorrected**: -6.15 eV/f.u.
**Energy**: -2.681 eV/atom
**Energy above the most stable polymorph in this dataset**: 10 meV per atom

---

(2)
Below is a geometry-optimized NaAsSe2 structure, with properties calculated at the PBE-GGA level.

Lattice parameters (Å, degrees): 9.8619 9.8619 9.8619 19.21 19.21 19.21
With the nearest neighbours (Å) after each atom.
Positions (direct):
Na1 0.5000 0.5000 0.5000  6 Se 2.93
As1 0.0000 0.0000 0.0000  2 Se 2.61
Se1 0.9101 0.9101 0.9101  1 As 2.61
Se2 0.0899 0.0899 0.0899  1 As 2.61

Results
**Total magnetization**: 0.00 Bohr magnetons per cell
**Energy relative to the elements, uncorrected**: 0.04 eV/f.u.
**Energy**: -3.224 eV/atom

---

(3)
Below is a geometry-optimized Na4AsSe5 structure, with properties calculated at the PBE-GGA level.

Lattice parameters (Å, degrees): 6.1433 7.3083 7.3083 79.83 65.15 65.15
With the nearest neighbours (Å) after each atom.
Positions (direct):
Na1 0.3945 0.3930 0.8147  5 Se 2.89-3.14
Na2 0.7876 0.8147 0.6070  5 Se 2.89-3.14
Na3 0.2092 0.1853 0.3930  5 Se 2.89-3.14
Na4 0.6022 0.6070 0.1853  5 Se 2.89-3.14
As1 0.0802 0.0000 0.0000  5 Se 2.36-2.51
Se1 0.9218 0.3223 0.8203  1 As 2.51
Se2 0.2442 0.8203 0.6777  1 As 2.51
Se3 0.7421 0.1797 0.3223  1 As 2.51
Se4 0.0644 0.6777 0.1797  1 As 2.51
Se5 0.4640 0.0000 0.0000  1 As 2.36

Results
**Total magnetization**: 0.80 Bohr magnetons per cell
**Energy relative to the elements, uncorrected**: -5.65 eV/f.u.
**Energy**: -3.300 eV/atom

---

Q: What is the energy relative to the elements, uncorrected in the second record?
A: 0.04 eV/f.u.